Entry 1:
Material: LaThAu2
Method: DFT, PBE-GGA
State: optimized geometry

Summary:
Formation enthalpy at 0 K ... -697 meV/atom
Theoretical density ... 11.658 g cm⁻³

Cell lengths 3.9774, 4.7924, 6.0686 Å; angles 90.00, 109.64, 90.00 degrees
Fractional coordinates of all 4 atoms:
1 Au 0.9927 0.0000 0.5267
2 La 0.7238 0.0000 0.9838
3 Th 0.4458 0.5000 0.4324
4 Au 0.1686 0.5000 0.8752


Entry 2:
Material: LaThAu3
Method: DFT, PBE-GGA
State: optimized geometry

Summary:
Formation enthalpy at 0 K ... -748 meV/atom
Theoretical density ... 12.534 g cm⁻³

Cell lengths 3.7670, 4.7168, 14.4671 Å; angles 90.00, 97.48, 90.00 degrees
Fractional coordinates of all 10 atoms:
1 Th 0.7943 0.2500 0.5886
2 La 0.0718 0.2500 0.1436
3 Au 0.5248 0.7500 0.0496
4 Au 0.4752 0.2500 0.9504
5 Th 0.2057 0.7500 0.4114
6 Au 0.3788 0.2500 0.7577
7 Au 0.6820 0.2500 0.3639
8 Au 0.3180 0.7500 0.6361
9 La 0.9282 0.7500 0.8564
10 Au 0.6212 0.7500 0.2423


Entry 3:
Material: La5ThAu4
Method: DFT, PBE-GGA
State: optimized geometry

Summary:
Formation enthalpy at 0 K ... -620 meV/atom
Theoretical density ... 10.065 g cm⁻³

Cell lengths 3.7589, 3.7589, 20.0183 Å; angles 90.00, 90.00, 90.00 degrees
Fractional coordinates of all 10 atoms:
1 La 0.5000 0.5000 0.6909
2 Au 0.0000 0.0000 0.5952
3 Th 0.0000 0.0000 0.0000
4 La 0.5000 0.5000 0.1198
5 Au 0.0000 0.0000 0.7843
6 La 0.5000 0.5000 0.5000
7 La 0.5000 0.5000 0.8802
8 La 0.5000 0.5000 0.3090
9 Au 0.0000 0.0000 0.2157
10 Au 0.0000 0.0000 0.4048


Entry 4:
Material: LaThAu2
Method: DFT, PBE-GGA
State: optimized geometry

Summary:
Formation enthalpy at 0 K ... -659 meV/atom
Theoretical density ... 12.056 g cm⁻³

Cell lengths 3.7126, 3.7126, 7.6437 Å; angles 90.00, 90.00, 90.00 degrees
Fractional coordinates of all 4 atoms:
1 Th 0.5000 0.5000 0.0000
2 Au 0.0000 0.0000 0.7576
3 Au 0.0000 0.0000 0.2424
4 La 0.5000 0.5000 0.5000


Entry 5:
Material: La2ThAu3
Method: DFT, PBE-GGA
State: optimized geometry

Summary:
Formation enthalpy at 0 K ... -700 meV/atom
Theoretical density ... 11.480 g cm⁻³

Cell lengths 3.7158, 5.3291, 16.0814 Å; angles 90.00, 90.00, 90.00 degrees
Fractional coordinates of all 12 atoms:
1 Au 0.4983 0.5000 0.6590
2 La 0.9971 0.0000 0.3302
3 Au 0.5017 0.0000 0.1590
4 La 0.9971 0.0000 0.6698
5 Au 0.5042 0.5000 0.0000
6 Au 0.4983 0.5000 0.3410
7 La 0.0029 0.5000 0.1698
8 Au 0.4958 0.0000 0.5000
9 Th 0.9975 0.5000 0.5000
10 Au 0.5017 0.0000 0.8410
11 Th 0.0025 0.0000 0.0000
12 La 0.0029 0.5000 0.8302


Entry 6:
Material: La5ThAu6
Method: DFT, PBE-GGA
State: optimized geometry

Summary:
Formation enthalpy at 0 K ... -741 meV/atom
Theoretical density ... 10.888 g cm⁻³

Cell lengths 5.3669, 7.4925, 9.2332 Å; angles 66.06, 73.02, 90.00 degrees
Fractional coordinates of all 12 atoms:
1 Au 0.8381 0.6011 0.3241
2 La 0.3246 0.8245 0.3510
3 Au 0.8381 0.0748 0.3241
4 Th 0.0000 0.0000 0.0000
5 Au 0.5000 0.2240 0.0000
6 Au 0.1619 0.3989 0.6759
7 La 0.0000 0.5000 0.0000
8 La 0.6754 0.1755 0.6490
9 La 0.3389 0.3391 0.3219
10 Au 0.5000 0.7760 0.0000
11 La 0.6611 0.6609 0.6781
12 Au 0.1619 0.9252 0.6759


Entry 7:
Material: LaThZnAu
Method: DFT, PBE-GGA
State: optimized geometry

Summary:
Formation enthalpy at 0 K ... -400 meV/atom
Theoretical density ... 10.101 g cm⁻³

Cell lengths 5.2805, 5.2805, 5.2805 Å; angles 60.00, 60.00, 60.00 degrees
Fractional coordinates of all 4 atoms:
1 Au 0.5000 0.5000 0.5000
2 La 0.2500 0.2500 0.2500
3 Th 0.7500 0.7500 0.7500
4 Zn 0.0000 0.0000 0.0000


Entry 8:
Material: LaTi2Au2
Method: DFT, PBE-GGA
State: optimized geometry

Summary:
Formation enthalpy at 0 K ... -265 meV/atom
Distance to the lowest polymorph of the same formula ... 78.3 meV/atom
Theoretical density ... 10.501 g cm⁻³

Cell lengths 8.0186, 8.0186, 3.0917 Å; angles 90.00, 90.00, 90.00 degrees
Fractional coordinates of all 10 atoms:
1 Ti 0.1561 0.3439 0.0000
2 La 0.5000 0.5000 0.0000
3 Au 0.6374 0.8626 0.5000
4 Ti 0.6561 0.1561 0.0000
5 Ti 0.8439 0.6561 0.0000
6 Au 0.8626 0.3626 0.5000
7 La 0.0000 0.0000 0.0000
8 Au 0.1374 0.6374 0.5000
9 Ti 0.3439 0.8439 0.0000
10 Au 0.3626 0.1374 0.5000


Entry 9:
Material: LaTiAu
Method: DFT, PBE-GGA
State: optimized geometry

Summary:
Formation enthalpy at 0 K ... -371 meV/atom
Distance to the lowest polymorph of the same formula ... 0.0 meV/atom
Theoretical density ... 8.647 g cm⁻³

Cell lengths 4.5571, 7.0973, 4.5569 Å; angles 89.99, 90.00, 90.01 degrees
Fractional coordinates of all 6 atoms:
1 La 0.4647 0.3750 0.9133
2 Au 0.9644 0.2126 0.4134
3 Ti 0.4643 0.0098 0.4134
4 Au 0.4644 0.8070 0.9135
5 La 0.9646 0.6446 0.4133
6 Ti 0.9645 0.0098 0.9134


Entry 10:
Material: La3TiAu
Method: DFT, PBE-GGA
State: optimized geometry

Summary:
Formation enthalpy at 0 K ... 298 meV/atom
Distance to the lowest polymorph of the same formula ... 0.0 meV/atom
Theoretical density ... 6.764 g cm⁻³

Cell lengths 5.4559, 5.4559, 5.4559 Å; angles 90.00, 90.00, 90.00 degrees
Fractional coordinates of all 5 atoms:
1 Ti 0.0000 0.0000 0.0000
2 La 0.0000 0.0000 0.5000
3 La 0.0000 0.5000 0.0000
4 Au 0.5000 0.5000 0.5000
5 La 0.5000 0.0000 0.0000


Entry 11:
Material: LaTiAu
Method: DFT, PBE-GGA
State: optimized geometry

Summary:
Formation enthalpy at 0 K ... -262 meV/atom
Distance to the lowest polymorph of the same formula ... 108.5 meV/atom
Theoretical density ... 8.854 g cm⁻³

Cell lengths 3.4843, 7.5565, 6.1977 Å; angles 114.24, 90.01, 103.36 degrees
Fractional coordinates of all 6 atoms:
1 Ti 0.2650 0.0739 0.0745
2 Ti 0.2648 0.0734 0.6223
3 Au 0.8741 0.2919 0.4576
4 Au 0.6557 0.8554 0.2392
5 La 0.9530 0.4505 0.0367
6 La 0.5767 0.6968 0.6601


Entry 12:
Material: LaTiAu
Method: DFT, PBE-GGA
State: optimized geometry

Summary:
Formation enthalpy at 0 K ... -346 meV/atom
Distance to the lowest polymorph of the same formula ... 24.6 meV/atom
Theoretical density ... 9.006 g cm⁻³

Cell lengths 3.5951, 8.4347, 4.7719 Å; angles 90.00, 90.00, 102.06 degrees
Fractional coordinates of all 6 atoms:
1 Ti 0.4487 0.0175 0.4134
2 La 0.7743 0.6611 0.4134
3 Au 0.3208 0.7565 0.9134
4 Ti 0.9411 0.0021 0.9134
5 Au 0.0689 0.2631 0.4134
6 La 0.6154 0.3586 0.9134


Look up the formation enthalpy at 0 K of the first one.
-697 meV/atom


The lowest formation enthalpy at 0 K belongs to which entry?
LaThAu3